## P
A relaxed LaIn2Hg2 crystal. Source: Alexandria, functional PBE-GGA.

Cell: 8.670 8.670 3.586 Å, 90.00 90.00 90.00°
Last column: magnetic moment on the atom in μB.
Fractional positions:
Hg (0.670, 0.830, 0.500)  0.00
Hg (0.830, 0.330, 0.500)  0.00
Hg (0.330, 0.170, 0.500)  0.00
Hg (0.170, 0.670, 0.500)  0.00
La (0.500, 0.500, 0.000)  0.22
La (0.000, 0.000, 0.000)  0.22
In (0.128, 0.372, 0.000)  0.00
In (0.872, 0.628, 0.000)  0.00
In (0.628, 0.128, 0.000)  0.00
In (0.372, 0.872, 0.000)  0.00

Output
The calculation puts the density of states at the Fermi level at 7.19 states/eV per cell. For the theoretical density, the calculation gives 9.48 g/cm3.

## Q
A relaxed LaIn2Hg2 crystal. Source: Alexandria, functional PBE-GGA.

Cell: 6.004 6.133 8.308 Å, 75.38 76.31 67.27°
Fractional positions:
In (0.693, 0.688, 0.722)
In (0.307, 0.312, 0.278)
In (0.828, 0.372, 0.093)
In (0.172, 0.628, 0.907)
La (0.193, 0.188, 0.704)
La (0.807, 0.812, 0.296)
Hg (0.251, 0.742, 0.506)
Hg (0.346, 0.859, 0.105)
Hg (0.654, 0.141, 0.895)
Hg (0.749, 0.258, 0.494)

Output
The calculation puts the density of states at the Fermi level at 5.54 states/eV per cell. For the theoretical density, the calculation gives 9.48 g/cm3.

Most favorable structure: Q. The second most favorable one is 126 meV per atom above it.